(1)
VASP calculation (PBE) on crystalline Nd2Co3Sn5 at its relaxed geometry.

## Properties
raw total energy	-218.57	eV for the cell shown
ρ	8.472	g/cm3

a b c (Å): 4.3818 26.3762 7.1823
angles (deg): 90.00 90.00 90.00
With the nearest neighbours (Å) after each atom.
Space group Cmc2_1 (No. 36)
Inequivalent atoms, fractional coordinates:
Nd 0.0000 0.0260 0.0000 x4  3 Co 2.82-3.05
Nd 0.0000 0.3283 0.9830 x4  8 Sn 3.18-3.42, 4 Co 3.22-3.55
Co 0.0000 0.1069 0.2567 x4  6 Sn 2.62-2.92, 1 Nd 2.82
Co 0.0000 0.2776 0.4750 x4  7 Sn 2.64-2.85
Co 0.0000 0.4496 0.2179 x4  5 Sn 2.56-2.76
Sn 0.0000 0.0933 0.6235 x4  3 Co 2.56-2.66
Sn 0.0000 0.2043 0.1843 x4  4 Co 2.62-2.85
Sn 0.0000 0.2128 0.7659 x4  3 Co 2.67-2.70
Sn 0.0000 0.3775 0.4951 x4  4 Co 2.64-2.92
Sn 0.0000 0.4510 0.8339 x4  4 Co 2.73-2.76

(2)
VASP calculation (PBE) on crystalline NdCoSn3 at its relaxed geometry.

## Properties
raw total energy	-100.41	eV for the cell shown
ρ	7.756	g/cm3

a b c (Å): 6.1530 9.2249 8.4392
angles (deg): 90.00 90.00 90.00
With the nearest neighbours (Å) after each atom.
Space group Pnma (No. 62)
Inequivalent atoms, fractional coordinates:
Nd 0.0194 0.2500 0.0383 x4  7 Sn 3.11-3.35
Co 0.0000 0.0000 0.5000 x4  6 Sn 2.44-2.70
Sn 0.0188 0.2500 0.4073 x4  2 Co 2.44
Sn 0.2465 0.5713 0.2471 x8  2 Co 2.69-2.70

(3)
VASP calculation (PBE) on crystalline NdCoSn4 at its relaxed geometry.

## Properties
raw total energy	-58.31	eV for the cell shown
ρ	7.684	g/cm3

a b c (Å): 6.3263 6.8055 7.5711
angles (deg): 107.59 101.20 101.45
With the nearest neighbours (Å) after each atom.
Space group P-1 (No. 2)
Inequivalent atoms, fractional coordinates:
Nd 0.0043 0.0229 0.2605 x2  7 Sn 3.20-3.51, 1 Co 3.50
Co 0.0000 0.5000 0.0000 x1  6 Sn 2.54-2.81
Co 0.5000 0.5000 0.5000 x1  6 Sn 2.47-2.74
Sn 0.1610 0.4441 0.6727 x2  2 Co 2.74-2.81
Sn 0.3151 0.3648 0.1406 x2  2 Co 2.54
Sn 0.3615 0.8206 0.5294 x2  1 Co 2.47
Sn 0.3641 0.8207 0.0766 x2  1 Co 2.67

(4)
VASP calculation (PBE) on crystalline NdCoSn2 at its relaxed geometry.

## Properties
raw total energy	-86.79	eV for the cell shown
ρ	7.905	g/cm3

a b c (Å): 7.3813 4.5218 11.0922
angles (deg): 90.00 90.00 90.00
With the nearest neighbours (Å) after each atom.
Space group Pnma (No. 62)
Inequivalent atoms, fractional coordinates:
Nd 0.1967 0.2500 0.1357 x4  9 Sn 3.30-3.43, 5 Co 3.31-3.67
Co 0.0242 0.7500 0.3624 x4  5 Sn 2.46-2.60
Sn 0.1256 0.2500 0.8360 x4  2 Co 2.46-2.60
Sn 0.1439 0.2500 0.4386 x4  3 Co 2.53-2.57

(5)
VASP calculation (PBE) on crystalline Nd4CoSn8 at its relaxed geometry.

## Properties
raw total energy	-65.99	eV for the cell shown
ρ	7.629	g/cm3

a b c (Å): 4.4727 4.5486 16.9643
angles (deg): 90.00 90.00 90.00
With the nearest neighbours (Å) after each atom.
Space group Pmm2 (No. 25)
Inequivalent atoms, fractional coordinates:
Nd 0.0000 0.0000 0.0000 x1  10 Sn 3.25-3.53
Nd 0.0000 0.5000 0.4961 x1  10 Sn 3.33-3.72, 4 Co 3.53
Nd 0.5000 0.0000 0.1985 x1  10 Sn 3.26-3.56, 1 Co 3.53
Nd 0.5000 0.5000 0.7029 x1  10 Sn 3.24-3.42
Co 0.5000 0.0000 0.4064 x1  5 Sn 2.48-2.54
Sn 0.0000 0.0000 0.3393 x1  2 Co 2.51
Sn 0.0000 0.0000 0.6694 x1  2 Sn 2.99, 4 Nd 3.24
Sn 0.0000 0.5000 0.1594 x1  2 Sn 3.05, 4 Nd 3.26
Sn 0.0000 0.5000 0.8531 x1  4 Sn 3.19, 4 Nd 3.37-3.39
Sn 0.5000 0.0000 0.5526 x1  1 Co 2.48
Sn 0.5000 0.0000 0.8506 x1  4 Sn 3.19, 4 Nd 3.38
Sn 0.5000 0.5000 0.0368 x1  2 Sn 3.05, 4 Nd 3.25
Sn 0.5000 0.5000 0.3402 x1  2 Co 2.54

(6)
VASP calculation (PBE) on crystalline Nd6CoSn3 at its relaxed geometry.

## Properties
raw total energy	-307.08	eV for the cell shown
ρ	6.392	g/cm3

a b c (Å): 13.4789 13.4789 12.6862
angles (deg): 90.00 90.00 120.00
With the nearest neighbours (Å) after each atom.
Space group R-3 (No. 148, hexagonal axes)
Inequivalent atoms, fractional coordinates:
Nd 0.0329 0.1979 0.3961 x18  1 Co 2.81
Nd 0.0665 0.1936 0.8813 x18  1 Co 2.75
Co 0.0000 0.0000 0.0000 x3  6 Nd 2.75
Co 0.0000 0.0000 0.5000 x3  6 Nd 2.81
Sn 0.0440 0.4272 0.3089 x18  7 Nd 3.19-3.35

(7)
VASP calculation (PBE) on crystalline NdCoSn2 at its relaxed geometry.

## Properties
raw total energy	-57.43	eV for the cell shown
ρ	7.401	g/cm3

a b c (Å): 3.3452 3.3452 30.6013
angles (deg): 90.00 90.00 120.00
With the nearest neighbours (Å) after each atom.
Space group R-3m (No. 166, hexagonal axes)
Inequivalent atoms, fractional coordinates:
Nd 0.0000 0.0000 0.0000 x3  2 Sn 3.26, 6 Nd 3.35
Co 0.0000 0.0000 0.5000 x3  6 Sn 2.67
Sn 0.0000 0.0000 0.1064 x6  3 Co 2.67

(8)
VASP calculation (PBE) on crystalline SrNdCo at its relaxed geometry.

## Properties
raw total energy	-54.30	eV for the cell shown
ρ	4.955	g/cm3

a b c (Å): 4.0619 23.8745 4.0194
angles (deg): 90.00 90.00 90.00
With the nearest neighbours (Å) after each atom.
Space group Cmcm (No. 63)
Inequivalent atoms, fractional coordinates:
Sr 0.0000 0.1828 0.2500 x4  1 Co 3.81, 4 Nd 4.02, 4 Sr 4.02-4.06
Nd 0.0000 0.4355 0.2500 x4  6 Co 2.92-3.02
Co 0.0000 0.0231 0.2500 x4  2 Co 2.29

(9)
VASP calculation (PBE) on crystalline SrNd3Co at its relaxed geometry.

## Properties
raw total energy	-22.86	eV for the cell shown
ρ	5.570	g/cm3

a b c (Å): 5.5689 5.5689 5.5689
angles (deg): 90.00 90.00 90.00
With the nearest neighbours (Å) after each atom.
Space group Pm-3m (No. 221)
Inequivalent atoms, fractional coordinates:
Sr 0.0000 0.0000 0.0000 x1  12 Nd 3.94
Nd 0.0000 0.5000 0.5000 x3  2 Co 2.78
Co 0.5000 0.5000 0.5000 x1  6 Nd 2.78

(10)
VASP calculation (PBE) on crystalline SrNdCo at its relaxed geometry.

## Properties
raw total energy	-105.44	eV for the cell shown
ρ	5.055	g/cm3

a b c (Å): 7.2976 13.7607 7.6104
angles (deg): 90.00 90.00 90.00
With the nearest neighbours (Å) after each atom.
Space group Cmce (No. 64)
Inequivalent atoms, fractional coordinates:
Sr 0.0000 0.2029 0.1132 x8  2 Co 3.19-3.20
Nd 0.2500 0.0336 0.7500 x8  4 Co 2.89-2.91
Co 0.0000 0.0787 0.4670 x8  1 Co 2.22

(11)
VASP calculation (PBE) on crystalline NdTaCo at its relaxed geometry.

## Properties
raw total energy	-48.16	eV for the cell shown
ρ	10.168	g/cm3

a b c (Å): 4.4023 4.4023 6.4739
angles (deg): 90.00 90.00 90.00
With the nearest neighbours (Å) after each atom.
Space group P4/nmm (No. 129, origin choice 2)
Inequivalent atoms, fractional coordinates:
Nd 0.2500 0.2500 0.1216 x2  1 Co 2.87
Ta 0.2500 0.7500 0.5000 x2  4 Co 2.49
Co 0.2500 0.2500 0.6784 x2  4 Ta 2.49

(12)
VASP calculation (PBE) on crystalline TbNdCo2 at its relaxed geometry.

## Properties
raw total energy	-48.15	eV for the cell shown
ρ	8.254	g/cm3

a b c (Å): 3.8925 5.6935 7.6438
angles (deg): 90.00 90.00 90.00
With the nearest neighbours (Å) after each atom.
Space group Pmc2_1 (No. 26)
Inequivalent atoms, fractional coordinates:
Tb 0.0000 0.1300 0.0000 x2  6 Co 2.88-2.96
Nd 0.5000 0.3685 0.3567 x2  7 Co 2.99-3.12
Co 0.0000 0.3331 0.6544 x2  2 Co 2.27
Co 0.5000 0.1420 0.7095 x2  2 Co 2.27